Compound: Li4ErCd15
Source: Alexandria via LeMat-Bulk
Functional: PBE
Structure: optimized geometry

The structure belongs to space group P4/mmm (No. 123); the cell edges are 4.4142, 4.4142 and 21.9501 Å and the angles 90.00°, 90.00° and 90.00°. The inequivalent atoms are Li at (0.0000, 0.0000, 0.0965), Li at (0.0000, 0.0000, 0.2949), Er at (0.0000, 0.0000, 0.5000), Cd at (0.0000, 0.5000, 0.0000), Cd at (0.0000, 0.5000, 0.1954), Cd at (0.0000, 0.5000, 0.3918), Cd at (0.5000, 0.5000, 0.0984), Cd at (0.5000, 0.5000, 0.2922) and Cd at (0.5000, 0.5000, 0.5000).

The value obtained for the total energy is -29.54 eV per cell. The value obtained for the calculated volume is 21.4 A^3/atom. The value obtained for the density of states at the Fermi level is 5.0 states/eV per cell. The value obtained for the spin magnetization is 0.00 μB/atom. As for the formation energy: -0.180 eV/atom.